Computed, not measured: a PBEsol-optimized structure of Al2ZnCu at the meta-GGA SCAN level of DFT.

Unit cell a=2.6699 b=3.7049 c=5.7415 alpha=90.00 beta=90.00 gamma=90.00
Last column: nearest neighbours and their distance in Å.
Fractional positions:
1 Al 0.0000 0.0000 0.2397  4 Cu 2.67, 3 Al 2.67-2.75, 4 Zn 2.73
2 Al 0.0000 0.0000 0.7603  4 Cu 2.67, 3 Al 2.67-2.75, 4 Zn 2.73
3 Zn 0.5000 0.5000 0.5000  2 Zn 2.67, 8 Al 2.73, 2 Cu 2.87
4 Cu 0.5000 0.5000 0.0000  8 Al 2.67, 2 Cu 2.67, 2 Zn 2.87

Calculated values
Calculated volume   14.2 Å³ per atom
Total moment   0.0 μB/f.u.
ΔH_f (0 K)   -0.08 eV/atom